No. 1
A plane-wave DFT calculation with SCAN was carried out for a crystal of TcNiTe relaxed with PBEsol.

## Properties
Raw total energy, eV per atom: -29.2247
Calculated volume, Å³/atom: 17.5
Uncorrected formation energy, eV per atom: 0.2701

```
TcNiTe
1.0
-2.838 -2.390 -1.981
1.047 -3.858 -1.310
-1.608 -3.380 1.918
Tc Te Ni
1 1 1
direct
0.250 0.250 0.250 Tc
0.000 0.000 0.000 Te
0.500 0.500 0.500 Ni
```

No. 2
A plane-wave DFT calculation with SCAN was carried out for a crystal of TcNiTe4 relaxed with PBEsol.

## Properties
Raw total energy, eV per atom: -31.9583
Calculated volume, Å³/atom: 25.7
Uncorrected formation energy, eV per atom: 1.4147

```
TcNiTe4
1.0
-2.253 -3.286 4.513
-0.924 -5.902 -0.744
3.495 -3.978 2.863
Te Ni Tc
4 1 1
direct
0.375 0.375 0.875 Te
0.375 0.375 0.375 Te
0.375 0.875 0.375 Te
0.875 0.375 0.375 Te
0.750 0.750 0.750 Ni
0.000 0.000 0.000 Tc
```

No. 3
A plane-wave DFT calculation with SCAN was carried out for a crystal of TcNiTe relaxed with PBEsol.

## Properties
Raw total energy, eV per atom: -28.9577
Calculated volume, Å³/atom: 15.9
Uncorrected formation energy, eV per atom: 0.5371

```
TcNiTe
1.0
3.082 0.000 0.000
-1.541 2.669 0.000
0.000 0.000 5.800
Te Tc Ni
1 1 1
direct
0.667 0.333 0.330 Te
0.333 0.667 0.676 Tc
0.000 0.000 0.994 Ni
```

No. 4
A plane-wave DFT calculation with SCAN was carried out for a crystal of TiTc3Ni relaxed with PBEsol.

## Properties
Raw total energy, eV per atom: -26.2836
Calculated volume, Å³/atom: 16.3

```
TiTc3Ni
1.0
-3.427 -2.351 -1.248
1.802 -3.547 1.732
-1.959 0.850 3.777
Ti Ni Tc
1 1 3
direct
0.500 0.500 0.500 Ti
0.000 0.000 0.000 Ni
0.500 0.000 0.000 Tc
0.000 0.500 0.000 Tc
0.000 0.000 0.500 Tc
```

No. 5
A plane-wave DFT calculation with SCAN was carried out for a crystal of TlTcNi relaxed with PBEsol.

## Properties
Raw total energy, eV per atom: -40.5745
Calculated volume, Å³/atom: 15.6

```
TlTcNi
1.0
-1.393 -2.484 -0.443
2.523 0.009 1.395
-3.128 0.747 5.652
Tl Ni Tc
1 1 1
direct
0.667 0.333 0.323 Tl
0.000 0.000 0.981 Ni
0.333 0.667 0.696 Tc
```

No. 6
A plane-wave DFT calculation with SCAN was carried out for a crystal of TlTc2Ni relaxed with PBEsol.

## Properties
Raw total energy, eV per atom: -38.9298
Calculated volume, Å³/atom: 14.8

```
TlTc2Ni
1.0
-4.257 -0.572 0.812
-1.764 -3.989 -0.295
-1.272 -2.100 3.617
Ni Tc Tl
1 2 1
direct
0.000 0.000 0.000 Ni
0.750 0.750 0.750 Tc
0.250 0.250 0.250 Tc
0.500 0.500 0.500 Tl
```

No. 7
A plane-wave DFT calculation with SCAN was carried out for a crystal of TcNiW relaxed with PBEsol.

## Properties
Raw total energy, eV per atom: -40.2387
Calculated volume, Å³/atom: 13.6

```
TcNiW
1.0
-1.872 -1.739 -0.278
0.809 -1.499 3.923
-2.844 3.148 -0.542
W Tc Ni
1 1 1
direct
0.293 0.667 0.333 W
0.634 0.333 0.667 Tc
0.073 0.000 0.000 Ni
```

No. 8
A plane-wave DFT calculation with SCAN was carried out for a crystal of TcNiW2 relaxed with PBEsol.

## Properties
Raw total energy, eV per atom: -47.5358
Calculated volume, Å³/atom: 14.0

```
TcNiW2
1.0
-0.837 -2.444 -1.856
-0.697 -1.722 2.582
-5.196 1.889 -0.144
W Tc Ni
2 1 1
direct
0.000 0.000 0.765 W
0.000 0.000 0.235 W
0.500 0.500 0.500 Tc
0.500 0.500 0.000 Ni
```